A plane-wave DFT calculation with GGA-PBE was carried out for crystalline Dy2O3 at its relaxed geometry.

POSCAR file:
```
Dy2O3
1.0
3.785 0.000 0.000
0.000 3.785 0.000
0.000 0.000 5.555
Dy O
2 3
Direct
0.500 0.000 0.789
0.000 0.500 0.211
0.500 0.500 0.000
0.000 0.000 0.500
0.000 0.000 0.000
```

Values from the calculation:
size of the total moment: 0.000 μB/atom
final energy: -8.154 eV per atom
symmetry: P-4m2 (115)